The following is a PBE calculation of a relaxed structure of Th6BiSb3As2, from Alexandria via LeMat-Bulk.

Cell and atoms, written as POSCAR:
```
Th6BiSb3As2
1.0
4.421 0.000 0.000
0.000 8.910 0.311
-2.211 -2.576 9.326
Th Bi Sb As
6 1 3 2
Cartesian
0.000 6.267 6.390 Th
2.211 4.206 3.386 Th
2.211 0.067 3.246 Th
0.000 2.276 0.279 Th
2.211 4.059 9.358 Th
0.000 2.128 6.251 Th
2.211 0.000 0.000 Bi
2.211 4.455 0.155 Sb
2.211 -0.269 6.382 Sb
0.000 6.604 3.254 Sb
2.211 4.206 6.378 As
0.000 2.129 3.259 As
```

**Calculated density**: 9.5 Mg/m³
**Energy relative to the elements, uncorrected**: -0.9970 eV per atom
**Density of states at the Fermi level**: 8.10 states/eV per cell